1.
Te2PbAu: optimized geometry, PBE-GGA.

abc: 5.344 5.344 5.344
angles: 60.00 60.00 60.00
Sites, in units of the cell vectors:
Te 0.000 0.000 0.000
Te 0.250 0.250 0.250
Pb 0.500 0.500 0.500
Au 0.750 0.750 0.750

Computed properties:
calculated density	10.14	g/cm3
E	-3.14	eV/atom
space-group type	F-43m



2.
Te3PbAu2: optimized geometry, PBE-GGA.

abc: 8.309 8.309 10.012
angles: 90.00 90.00 151.47
Sites, in units of the cell vectors:
Te 0.082 0.918 0.750
Te 0.352 0.648 0.543
Te 0.352 0.648 0.957
Te 0.648 0.352 0.043
Te 0.648 0.352 0.457
Te 0.918 0.082 0.250
Pb 0.237 0.763 0.250
Pb 0.763 0.237 0.750
Au 0.000 0.000 0.000
Au 0.000 0.000 0.500
Au 0.465 0.535 0.750
Au 0.535 0.465 0.250

Computed properties:
calculated density	9.90	g/cm3
E	-3.26	eV/atom
space-group type	Cmcm



Question: Among the records above, which one has the highest calculated density?
Answer: Te2PbAu



Question: Which value of E does entry 1 give?
Answer: -3.14 eV/atom